A plane-wave DFT calculation with PBE was carried out for crystalline ZrAsNO at its relaxed geometry.

Results
Relative energy among the computed polymorphs, eV/f.u.: 1.58
Spin magnetization, μB/cell: 0.0
DFT total energy, eV per atom: -7.40

Lattice parameters (Å, degrees): 6.5049 6.5052 4.6456 90.00 90.07 90.00
Last column: nearest neighbours and their distance in Å.
Space group C2/m (No. 12)
Inequivalent atoms, fractional coordinates:
1 Zr 0.0000 0.2499 0.0000 [4 per cell]  2 O 2.32, 4 N 2.37
2 As 0.2499 0.0000 0.4616 [4 per cell]  1 N 1.91
3 N 0.2501 0.0000 0.8737 [4 per cell]  1 As 1.91
4 O 0.0000 0.2513 0.5000 [4 per cell]  4 As 2.30-2.31, 2 Zr 2.32